# Li3MnCo2O6 (PBE with a Hubbard U, optimized geometry)
# E_tot   -71.40 eV per formula unit
# Magnetization   10.00 μB per formula unit
# Distance to the lowest polymorph of the same formula   0.01 eV/f.u.
# Calculated density   4.4 g/cm3
data_Li3MnCo2O6
_chemical_formula_sum 'Li6 Mn2 Co4 O12'
_space_group_name_H-M_alt 'C 1 m 1'
_space_group_IT_number 8
_cell_length_a 15.266
_cell_length_b 2.935
_cell_length_c 5.182
_cell_angle_alpha 90.00
_cell_angle_beta 109.61
_cell_angle_gamma 90.00
loop_
_space_group_symop_operation_xyz
'x,y,z'
'x,-y,z'
'x+1/2,y+1/2,z'
'x+1/2,-y+1/2,z'
loop_
_atom_site_label
_atom_site_fract_x
_atom_site_fract_y
_atom_site_fract_z
_atom_site_occupancy
Li1 0.000 0.000 0.000 1
Li2 0.156 0.500 0.994 1
Li3 0.331 0.000 0.991 1
Mn1 0.331 0.500 0.488 1
Co1 0.005 0.500 0.493 1
Co2 0.162 0.000 0.505 1
O1 0.077 0.000 0.746 1
O2 0.077 0.500 0.258 1
O3 0.253 0.500 0.714 1
O4 0.258 0.000 0.269 1
O5 0.406 0.000 0.705 1
O6 0.414 0.500 0.273 1